P:
A relaxed Cr2Mo2Au crystal. Source: the Alexandria database, functional PBE.

The structure in POSCAR format:
```
Cr2Mo2Au
1.0
-1.890 1.890 5.756
1.890 -1.890 5.756
1.890 1.890 -5.756
Cr Mo Au
2 2 1
direct
0.250 0.750 0.500
0.750 0.250 0.500
0.119 0.119 0.000
0.881 0.881 0.000
0.500 0.500 0.000
```

Summary:
Space group ... I4/mmm, No. 139
Magnetic moment ... 0.00 μB per formula unit


Q:
A relaxed Cr2Mo2Au crystal. Source: the Alexandria database, functional PBE.

The structure in POSCAR format:
```
Cr2Mo2Au
1.0
7.294 0.000 0.000
0.000 7.294 0.000
0.000 0.000 2.868
Cr Mo Au
4 4 2
direct
0.156 0.344 0.000
0.344 0.844 0.000
0.656 0.156 0.000
0.844 0.656 0.000
0.141 0.641 0.500
0.359 0.141 0.500
0.641 0.859 0.500
0.859 0.359 0.500
0.000 0.000 0.500
0.500 0.500 0.500
```

Summary:
Space group ... P4/mbm, No. 127
Magnetic moment ... 1.02 μB per formula unit


Last place for stability: P


P:
A relaxed CrAuSe2N crystal. Source: the Alexandria database, functional PBE.

The structure in POSCAR format:
```
CrAuSe2N
1.0
5.302 0.000 0.000
0.000 5.302 0.000
0.000 0.000 3.757
Cr Au Se N
1 1 2 1
direct
0.000 0.000 0.000
0.500 0.500 0.500
0.000 0.500 0.500
0.500 0.000 0.500
0.500 0.500 0.000
```

Summary:
Space group ... P4/mmm, No. 123
Magnetic moment ... 3.79 μB per formula unit


Q:
A relaxed CrAuSe2N crystal. Source: the Alexandria database, functional PBE.

The structure in POSCAR format:
```
CrAuSe2N
1.0
4.928 0.000 0.000
0.000 4.928 0.000
0.000 0.000 3.514
Cr Au Se N
1 1 2 1
direct
0.000 0.000 0.000
0.500 0.500 0.500
0.000 0.500 0.000
0.500 0.000 0.000
0.000 0.000 0.500
```

Summary:
Space group ... P4/mmm, No. 123
Magnetic moment ... 0.00 μB per formula unit


Last place for stability: P


P:
A relaxed NaCr2Au crystal. Source: the Alexandria database, functional PBE.

The structure in POSCAR format:
```
NaCr2Au
1.0
-3.936 3.936 2.906
3.936 -3.936 2.906
3.936 3.936 -2.906
Na Cr Au
2 4 2
direct
0.000 0.000 0.000
0.750 0.250 0.500
0.168 0.125 0.543
0.375 0.832 0.957
0.582 0.625 0.457
0.875 0.418 0.043
0.250 0.750 0.500
0.500 0.500 0.000
```

Summary:
Space group ... I-42d, No. 122
Magnetic moment ... 9.09 μB per formula unit


Q:
A relaxed NaCr2Au crystal. Source: the Alexandria database, functional PBE.

The structure in POSCAR format:
```
NaCr2Au
1.0
0.000 3.344 3.344
3.344 0.000 3.344
3.344 3.344 0.000
Na Cr Au
1 2 1
direct
0.000 0.000 0.000
0.250 0.250 0.250
0.750 0.750 0.750
0.500 0.500 0.500
```

Summary:
Space group ... Fm-3m, No. 225
Magnetic moment ... 8.99 μB per formula unit


Last place for stability: P


P:
A relaxed NaCr2Au2 crystal. Source: the Alexandria database, functional PBE.

The structure in POSCAR format:
```
NaCr2Au2
1.0
-1.619 1.619 8.265
1.619 -1.619 8.265
1.619 1.619 -8.265
Na Cr Au
1 2 2
direct
0.000 0.000 0.000
0.250 0.750 0.500
0.750 0.250 0.500
0.384 0.384 0.000
0.616 0.616 0.000
```

Summary:
Space group ... I4/mmm, No. 139
Magnetic moment ... 0.00 μB per formula unit


Q:
A relaxed NaCr2Au2 crystal. Source: the Alexandria database, functional PBE.

The structure in POSCAR format:
```
NaCr2Au2
1.0
7.996 0.000 0.000
0.000 7.996 0.000
0.000 0.000 2.710
Na Cr Au
2 4 4
direct
0.000 0.000 0.000
0.500 0.500 0.000
0.085 0.415 0.500
0.415 0.915 0.500
0.585 0.085 0.500
0.915 0.585 0.500
0.203 0.703 0.000
0.297 0.203 0.000
0.703 0.797 0.000
0.797 0.297 0.000
```

Summary:
Space group ... P4/mbm, No. 127
Magnetic moment ... 0.00 μB per formula unit


Last place for stability: P


P:
A relaxed NaCr3Au crystal. Source: the Alexandria database, functional PBE.

The structure in POSCAR format:
```
NaCr3Au
1.0
5.150 0.000 0.000
0.000 5.150 0.000
0.000 0.000 5.150
Na Cr Au
1 3 1
direct
0.000 0.000 0.000
0.000 0.500 0.500
0.500 0.000 0.500
0.500 0.500 0.000
0.500 0.500 0.500
```

Summary:
Space group ... Pm-3m, No. 221
Magnetic moment ... 13.69 μB per formula unit


Q:
A relaxed NaCr3Au crystal. Source: the Alexandria database, functional PBE.

The structure in POSCAR format:
```
NaCr3Au
1.0
4.881 0.000 0.000
0.000 4.881 0.000
0.000 0.000 4.881
Na Cr Au
1 3 1
direct
0.000 0.000 0.000
0.000 0.000 0.500
0.000 0.500 0.000
0.500 0.000 0.000
0.500 0.500 0.500
```

Summary:
Space group ... Pm-3m, No. 221
Magnetic moment ... 14.06 μB per formula unit


Last place for stability: Q


P:
A relaxed Na2CrAu crystal. Source: the Alexandria database, functional PBE.

The structure in POSCAR format:
```
Na2CrAu
1.0
-4.190 4.190 2.795
4.190 -4.190 2.795
4.190 4.190 -2.795
Na Cr Au
4 2 2
direct
0.094 0.625 0.969
0.375 0.344 0.469
0.656 0.125 0.031
0.875 0.906 0.531
0.250 0.750 0.500
0.500 0.500 0.000
0.000 0.000 0.000
0.750 0.250 0.500
```

Summary:
Space group ... I-42d, No. 122
Magnetic moment ... 4.81 μB per formula unit


Q:
A relaxed Na2CrAu crystal. Source: the Alexandria database, functional PBE.

The structure in POSCAR format:
```
Na2CrAu
1.0
0.000 3.532 3.532
3.532 0.000 3.532
3.532 3.532 0.000
Na Cr Au
2 1 1
direct
0.250 0.250 0.250
0.750 0.750 0.750
0.000 0.000 0.000
0.500 0.500 0.500
```

Summary:
Space group ... Fm-3m, No. 225
Magnetic moment ... 4.99 μB per formula unit


Last place for stability: P


P:
A relaxed Na2TlCrAu crystal. Source: the Alexandria database, functional PBE.

The structure in POSCAR format:
```
Na2TlCrAu
1.0
5.435 0.000 0.000
0.000 5.435 0.000
0.000 0.000 5.202
Na Tl Cr Au
2 1 1 1
direct
0.000 0.500 0.000
0.500 0.000 0.000
0.000 0.000 0.500
0.500 0.500 0.500
0.500 0.500 0.000
```

Summary:
Space group ... P4/mmm, No. 123
Magnetic moment ... 4.56 μB per formula unit


Q:
A relaxed Na2TlCrAu crystal. Source: the Alexandria database, functional PBE.

The structure in POSCAR format:
```
Na2TlCrAu
1.0
5.560 0.000 0.000
0.000 5.560 0.000
0.000 0.000 5.330
Na Tl Cr Au
2 1 1 1
direct
0.000 0.500 0.000
0.500 0.000 0.000
0.000 0.000 0.500
0.000 0.000 0.000
0.500 0.500 0.500
```

Summary:
Space group ... P4/mmm, No. 123
Magnetic moment ... 5.04 μB per formula unit


Last place for stability: Q


P:
A relaxed NbCrAu2 crystal. Source: the Alexandria database, functional PBE.

The structure in POSCAR format:
```
NbCrAu2
1.0
0.000 3.274 3.274
3.274 0.000 3.274
3.274 3.274 0.000
Nb Cr Au
1 1 2
direct
0.000 0.000 0.000
0.500 0.500 0.500
0.250 0.250 0.250
0.750 0.750 0.750
```

Summary:
Space group ... Fm-3m, No. 225
Magnetic moment ... 4.23 μB per formula unit


Q:
A relaxed NbCrAu2 crystal. Source: the Alexandria database, functional PBE.

The structure in POSCAR format:
```
NbCrAu2
1.0
-1.918 1.918 9.863
1.918 -1.918 9.863
1.918 1.918 -9.863
Nb Cr Au
2 2 4
direct
0.000 0.000 0.000
0.750 0.250 0.500
0.250 0.750 0.500
0.500 0.500 0.000
0.131 0.625 0.006
0.375 0.381 0.506
0.619 0.125 0.994
0.875 0.869 0.494
```

Summary:
Space group ... I-42d, No. 122
Magnetic moment ... 1.84 μB per formula unit


Last place for stability: Q


P:
A relaxed NbCr2Au crystal. Source: the Alexandria database, functional PBE.

The structure in POSCAR format:
```
NbCr2Au
1.0
-1.913 1.913 9.134
1.913 -1.913 9.134
1.913 1.913 -9.134
Nb Cr Au
2 4 2
direct
0.000 0.000 0.000
0.750 0.250 0.500
0.059 0.625 0.934
0.375 0.309 0.434
0.691 0.125 0.066
0.875 0.941 0.566
0.250 0.750 0.500
0.500 0.500 0.000
```

Summary:
Space group ... I-42d, No. 122
Magnetic moment ... 0.00 μB per formula unit


Q:
A relaxed NbCr2Au crystal. Source: the Alexandria database, functional PBE.

The structure in POSCAR format:
```
NbCr2Au
1.0
0.000 3.135 3.135
3.135 0.000 3.135
3.135 3.135 0.000
Nb Cr Au
1 2 1
direct
0.000 0.000 0.000
0.250 0.250 0.250
0.750 0.750 0.750
0.500 0.500 0.500
```

Summary:
Space group ... Fm-3m, No. 225
Magnetic moment ... 4.12 μB per formula unit


Last place for stability: P


P:
A relaxed Nb3CrAu crystal. Source: the Alexandria database, functional PBE.

The structure in POSCAR format:
```
Nb3CrAu
1.0
4.971 0.000 0.000
0.000 4.971 0.000
0.000 0.000 4.971
Nb Cr Au
3 1 1
direct
0.000 0.000 0.500
0.000 0.500 0.000
0.500 0.000 0.000
0.500 0.500 0.500
0.000 0.000 0.000
```

Summary:
Space group ... Pm-3m, No. 221
Magnetic moment ... 3.31 μB per formula unit


Q:
A relaxed Nb3CrAu crystal. Source: the Alexandria database, functional PBE.

The structure in POSCAR format:
```
Nb3CrAu
1.0
4.590 0.000 0.000
0.000 4.590 0.000
0.000 0.000 4.590
Nb Cr Au
3 1 1
direct
0.000 0.000 0.500
0.000 0.500 0.000
0.500 0.000 0.000
0.000 0.000 0.000
0.500 0.500 0.500
```

Summary:
Space group ... Pm-3m, No. 221
Magnetic moment ... 0.00 μB per formula unit


Last place for stability: P


P:
A relaxed CrNiAu crystal. Source: the Alexandria database, functional PBE.

The structure in POSCAR format:
```
CrNiAu
1.0
0.000 2.931 2.931
2.931 0.000 2.931
2.931 2.931 0.000
Cr Ni Au
1 1 1
direct
0.000 0.000 0.000
0.250 0.250 0.250
0.500 0.500 0.500
```

Summary:
Space group ... F-43m, No. 216
Magnetic moment ... 3.67 μB per formula unit


Q:
A relaxed CrNiAu crystal. Source: the Alexandria database, functional PBE.

The structure in POSCAR format:
```
CrNiAu
1.0
-1.567 1.567 4.316
1.567 -1.567 4.316
1.567 1.567 -4.316
Cr Ni Au
1 1 1
direct
0.000 0.000 0.000
0.634 0.634 0.000
0.316 0.316 0.000
```

Summary:
Space group ... I4mm, No. 107
Magnetic moment ... 2.53 μB per formula unit


R:
A relaxed CrNiAu crystal. Source: the Alexandria database, functional PBE.

The structure in POSCAR format:
```
CrNiAu
1.0
4.228 0.000 0.000
-2.114 3.661 0.000
0.000 0.000 2.823
Cr Ni Au
1 1 1
direct
0.000 0.000 0.000
0.667 0.333 0.015
0.333 0.667 0.506
```

Summary:
Space group ... P3m1, No. 156
Magnetic moment ... 3.27 μB per formula unit


S:
A relaxed CrNiAu crystal. Source: the Alexandria database, functional PBE.

The structure in POSCAR format:
```
CrNiAu
1.0
5.456 0.000 0.000
0.000 2.865 0.000
0.000 0.000 10.520
Cr Ni Au
4 4 4
direct
0.111 0.250 0.053
0.389 0.750 0.553
0.611 0.250 0.447
0.889 0.750 0.947
0.117 0.250 0.428
0.383 0.750 0.928
0.617 0.250 0.072
0.883 0.750 0.572
0.133 0.250 0.751
0.367 0.750 0.251
0.633 0.250 0.749
0.867 0.750 0.249
```

Summary:
Space group ... Pnma, No. 62
Magnetic moment ... 0.00 μB per formula unit


Last place for stability: P


P:
A relaxed Cr2TcNiAu crystal. Source: the Alexandria database, functional PBE.

The structure in POSCAR format:
```
Cr2TcNiAu
1.0
4.567 0.000 0.000
0.000 4.567 0.000
0.000 0.000 4.815
Cr Tc Ni Au
2 1 1 1
direct
0.000 0.500 0.000
0.500 0.000 0.000
0.000 0.000 0.500
0.500 0.500 0.500
0.000 0.000 0.000
```

Summary:
Space group ... P4/mmm, No. 123
Magnetic moment ... 0.01 μB per formula unit


Q:
A relaxed Cr2TcNiAu crystal. Source: the Alexandria database, functional PBE.

The structure in POSCAR format:
```
Cr2TcNiAu
1.0
4.388 0.000 0.000
0.000 4.388 0.000
0.000 0.000 4.516
Cr Tc Ni Au
2 1 1 1
direct
0.000 0.500 0.000
0.500 0.000 0.000
0.000 0.000 0.000
0.000 0.000 0.500
0.500 0.500 0.500
```

Summary:
Space group ... P4/mmm, No. 123
Magnetic moment ... 0.00 μB per formula unit


Last place for stability: P